Here is a relaxed HfBeV3 crystal from Alexandria. Energies are from GGA-PBE.

```
data_HfBeV3
_cell_length_a 4.6150
_cell_length_b 4.6150
_cell_length_c 4.6150
_cell_angle_alpha 90.00
_cell_angle_beta 90.00
_cell_angle_gamma 90.00
_symmetry_space_group_name_H-M 'P 1'
_symmetry_Int_Tables_number 1
_symmetry_space_group_name_Hall 'P 1'
loop_
_atom_site_label
_atom_site_fract_x
_atom_site_fract_y
_atom_site_fract_z
Be1 0.5000 0.5000 0.5000
Hf1 0.0000 0.0000 0.0000
V1 0.5000 0.0000 0.0000
V2 0.0000 0.0000 0.5000
V3 0.0000 0.5000 0.0000
```

Computed properties:
space group	No. 221
energy above the most stable polymorph in this dataset	1.431	eV per atom
total magnetic moment	2.27	μB per cell
DFT formation energy	1.953	eV/atom